! CaCoPt, PBEsol geometry, DFT meta-GGA SCAN; values from VASP
&SYSTEM
  ibrav = 0, nat = 3, ntyp = 3
/
ATOMIC_SPECIES
Pt 195.08 Pt.upf
Ca 40.08 Ca.upf
Co 58.93 Co.upf
ATOMIC_POSITIONS angstrom
Pt -1.0944 -1.3318 2.2723
Ca -2.9998 -3.7745 2.4244
Co -1.9318 -2.4747 0.2068
CELL_PARAMETERS angstrom
-2.6320 0.3058 -1.0884
0.3504 -3.3301 -1.7829
-0.7314 -0.7661 5.3231
! density = 9.21 g/cm³
! total moment = 2.10 Bohr magnetons per cell
! formation enthalpy at 0 K = -0.290 eV/atom

***

! CaCo2Pt, PBEsol geometry, DFT meta-GGA SCAN; values from VASP
&SYSTEM
  ibrav = 0, nat = 4, ntyp = 3
/
ATOMIC_SPECIES
Pt 195.08 Pt.upf
Co 58.93 Co.upf
Ca 40.08 Ca.upf
ATOMIC_POSITIONS angstrom
Pt 1.9638 1.9638 0.0000
Co 1.9638 0.0000 1.9333
Co 0.0000 0.0000 0.0000
Ca 0.0000 1.9638 1.9333
CELL_PARAMETERS angstrom
3.9276 0.0000 0.0000
0.0000 3.9276 0.0000
-1.9638 -1.9638 3.8666
! density = 9.83 g/cm³
! total moment = 3.62 Bohr magnetons per cell
! formation enthalpy at 0 K = 0.040 eV/atom

***

! CaCoPt2, PBEsol geometry, DFT meta-GGA SCAN; values from VASP
&SYSTEM
  ibrav = 0, nat = 4, ntyp = 3
/
ATOMIC_SPECIES
Ca 40.08 Ca.upf
Pt 195.08 Pt.upf
Co 58.93 Co.upf
ATOMIC_POSITIONS angstrom
Ca 0.5035 -1.1390 2.4987
Pt 0.0000 0.0000 0.0000
Pt -2.1285 -0.2917 1.8556
Co -0.1480 1.6187 2.3274
CELL_PARAMETERS angstrom
-1.4769 -3.0494 2.0270
2.4839 0.7715 2.9705
-3.2835 3.6049 -0.8145
! density = 12.77 g/cm³
! total moment = 2.62 Bohr magnetons per cell
! formation enthalpy at 0 K = -0.234 eV/atom

***

! CaCo2Re, PBEsol geometry, DFT meta-GGA SCAN; values from VASP
&SYSTEM
  ibrav = 0, nat = 4, ntyp = 3
/
ATOMIC_SPECIES
Ca 40.08 Ca.upf
Co 58.93 Co.upf
Re 186.21 Re.upf
ATOMIC_POSITIONS angstrom
Ca -0.6822 0.9037 2.5481
Co -2.2585 1.5204 0.6024
Co 0.0000 0.0000 0.0000
Re -1.9490 -1.1848 1.2034
CELL_PARAMETERS angstrom
-3.5253 -0.5682 -0.7423
-0.3728 -1.8015 3.1491
0.9573 4.7938 0.7437
! density = 10.18 g/cm³
! total moment = 0.46 Bohr magnetons per cell
! formation enthalpy at 0 K = 0.921 eV/atom

***

! Ca3CoRe, PBEsol geometry, DFT meta-GGA SCAN; values from VASP
&SYSTEM
  ibrav = 0, nat = 5, ntyp = 3
/
ATOMIC_SPECIES
Ca 40.08 Ca.upf
Co 58.93 Co.upf
Re 186.21 Re.upf
ATOMIC_POSITIONS angstrom
Ca 2.5283 0.0000 0.0000
Ca 0.0000 0.0000 2.5283
Ca 0.0000 2.5283 0.0000
Co 0.0000 0.0000 0.0000
Re 2.5283 2.5283 2.5283
CELL_PARAMETERS angstrom
5.0567 0.0000 0.0000
0.0000 5.0567 0.0000
0.0000 0.0000 5.0567
! density = 4.69 g/cm³
! total moment = 3.80 Bohr magnetons per cell
! formation enthalpy at 0 K = 1.258 eV/atom

***

! Ca2CoRe, PBEsol geometry, DFT meta-GGA SCAN; values from VASP
&SYSTEM
  ibrav = 0, nat = 4, ntyp = 3
/
ATOMIC_SPECIES
Ca 40.08 Ca.upf
Re 186.21 Re.upf
Co 58.93 Co.upf
ATOMIC_POSITIONS angstrom
Ca 4.4499 2.5691 6.8104
Ca 1.4833 0.8564 2.5197
Re 0.0000 0.0000 0.0000
Co 2.9666 1.7128 4.6650
CELL_PARAMETERS angstrom
2.9666 0.0000 0.0000
1.4833 2.5691 0.0000
1.4833 0.8564 9.3301
! density = 7.60 g/cm³
! relative energy among the computed polymorphs = 0.5262 eV per atom
! total moment = 1.01 Bohr magnetons per cell
! formation enthalpy at 0 K = 0.965 eV/atom

***

! Ca2CoRe, PBEsol geometry, DFT meta-GGA SCAN; values from VASP
&SYSTEM
  ibrav = 0, nat = 4, ntyp = 3
/
ATOMIC_SPECIES
Co 58.93 Co.upf
Ca 40.08 Ca.upf
Re 186.21 Re.upf
ATOMIC_POSITIONS angstrom
Co 0.0000 -0.0584 3.8827
Ca 0.0000 3.0552 0.6192
Ca 1.5379 1.4559 5.9840
Re 1.5379 1.4920 2.8086
CELL_PARAMETERS angstrom
3.0758 0.0000 0.0000
0.0000 3.0752 0.0378
0.0000 -0.1372 8.8126
! density = 6.48 g/cm³
! relative energy among the computed polymorphs = 0.0000 eV per atom
! total moment = 1.00 Bohr magnetons per cell
! formation enthalpy at 0 K = 0.439 eV/atom

***

! CaCo2Rh, PBEsol geometry, DFT meta-GGA SCAN; values from VASP
&SYSTEM
  ibrav = 0, nat = 4, ntyp = 3
/
ATOMIC_SPECIES
Co 58.93 Co.upf
Rh 102.91 Rh.upf
Ca 40.08 Ca.upf
ATOMIC_POSITIONS angstrom
Co -6.9266 1.2253 -3.7195
Co -2.3089 0.4084 -1.2398
Rh -4.6177 0.8169 -2.4797
Ca 0.0000 0.0000 0.0000
CELL_PARAMETERS angstrom
-1.9148 0.4156 -3.8627
-4.0072 -1.5278 -0.6063
-3.3134 2.7460 -0.4904
! density = 7.54 g/cm³
! total moment = 4.16 Bohr magnetons per cell
! formation enthalpy at 0 K = 0.241 eV/atom

***

! CaCo2Rh, PBEsol geometry, DFT meta-GGA SCAN; values from VASP
&SYSTEM
  ibrav = 0, nat = 4, ntyp = 3
/
ATOMIC_SPECIES
Co 58.93 Co.upf
Rh 102.91 Rh.upf
Ca 40.08 Ca.upf
ATOMIC_POSITIONS angstrom
Co -2.2764 0.8405 0.4120
Co 0.3323 -2.4218 0.2876
Rh -1.9692 -1.5502 -0.6429
Ca -0.0251 0.0311 -1.3425
CELL_PARAMETERS angstrom
-0.0502 0.0623 -2.6849
0.6647 -4.8436 0.5752
-4.5529 1.6810 0.8240
! density = 7.70 g/cm³
! total moment = 3.91 Bohr magnetons per cell
! formation enthalpy at 0 K = 0.304 eV/atom

***

! CaCo2Rh, PBEsol geometry, DFT meta-GGA SCAN; values from VASP
&SYSTEM
  ibrav = 0, nat = 4, ntyp = 3
/
ATOMIC_SPECIES
Rh 102.91 Rh.upf
Ca 40.08 Ca.upf
Co 58.93 Co.upf
ATOMIC_POSITIONS angstrom
Rh 2.1667 1.1938 1.8082
Ca 2.1667 3.6657 2.7725
Co 0.0000 0.0000 0.0000
Co 0.0000 2.4719 0.9643
CELL_PARAMETERS angstrom
4.3334 0.0000 0.0000
-2.1667 3.7501 0.1205
0.0000 2.3876 3.6164
! density = 7.53 g/cm³
! total moment = 4.09 Bohr magnetons per cell
! formation enthalpy at 0 K = 0.307 eV/atom

***

! Ca2CoRh, PBEsol geometry, DFT meta-GGA SCAN; values from VASP
&SYSTEM
  ibrav = 0, nat = 4, ntyp = 3
/
ATOMIC_SPECIES
Co 58.93 Co.upf
Ca 40.08 Ca.upf
Rh 102.91 Rh.upf
ATOMIC_POSITIONS angstrom
Co 0.0000 0.0000 4.6670
Ca 1.6526 1.6526 2.6503
Ca 0.0000 0.0000 7.4255
Rh 1.6526 1.6526 5.4351
CELL_PARAMETERS angstrom
3.3052 0.0000 0.0000
0.0000 3.3052 0.0000
0.0000 0.0000 8.0711
! density = 4.56 g/cm³
! total moment = 2.16 Bohr magnetons per cell
! formation enthalpy at 0 K = 0.000 eV/atom

***

! CaCoRh2Se, PBEsol geometry, DFT meta-GGA SCAN; values from VASP
&SYSTEM
  ibrav = 0, nat = 5, ntyp = 4
/
ATOMIC_SPECIES
Se 78.96 Se.upf
Rh 102.91 Rh.upf
Ca 40.08 Ca.upf
Co 58.93 Co.upf
ATOMIC_POSITIONS angstrom
Se 2.2376 0.0000 0.0000
Rh 0.0000 2.2728 0.0000
Rh 0.0000 0.0000 2.2728
Ca 2.2376 2.2728 2.2728
Co 0.0000 0.0000 0.0000
CELL_PARAMETERS angstrom
4.4751 0.0000 0.0000
0.0000 4.5456 0.0000
0.0000 0.0000 4.5456
! density = 6.89 g/cm³
! total moment = 3.26 Bohr magnetons per cell
! formation energy from raw total energies = 0.6 eV per formula unit